{
  "formula": "ScV2Co2",
  "functional": "PBE",
  "state": "optimized geometry",
  "lattice_angstrom": [[7.2071, 0.0000, 0.0000], [0.0000, 7.2071, 0.0000], [0.0000, 0.0000, 2.6085]],
  "species": ["Sc", "Sc", "V", "V", "V", "V", "Co", "Co", "Co", "Co"],
  "fractional_positions": [[0.0000, 0.0000, 0.0000], [0.5000, 0.5000, 0.0000], [0.1457, 0.3543, 0.0000], [0.3543, 0.8543, 0.0000], [0.6457, 0.1457, 0.0000], [0.8543, 0.6457, 0.0000], [0.1457, 0.6457, 0.5000], [0.3543, 0.1457, 0.5000], [0.6457, 0.8543, 0.5000], [0.8543, 0.3543, 0.5000]],
  "total_magnetization_mub_per_cell": 0.00,
  "spacegroup": "P4/mbm (127)",
  "relative_energy_ev_per_atom": 0.117,
  "dos_at_fermi_per_ev_cell": 11.0,
  "formation_energy_ev_per_fu": -0.2
}